{"formula": "HfFeB4", "functional": "PBE", "state": "optimized geometry", "relative_energy_kcal_per_mol_atoms": 0.000, "sg": "Pbam, No. 55", "e_tot_ev_per_cell": -195.9, "cell": [[5.740, 0.000, 0.000], [0.000, 11.131, 0.000], [0.000, 0.000, 3.237]], "species": ["Hf", "Hf", "Hf", "Hf", "Fe", "Fe", "Fe", "Fe", "B", "B", "B", "B", "B", "B", "B", "B", "B", "B", "B", "B", "B", "B", "B", "B"], "frac_coords": [[0.129, 0.150, 0.000], [0.371, 0.650, 0.000], [0.629, 0.350, 0.000], [0.871, 0.850, 0.000], [0.134, 0.409, 0.000], [0.366, 0.909, 0.000], [0.634, 0.091, 0.000], [0.866, 0.591, 0.000], [0.025, 0.694, 0.500], [0.114, 0.547, 0.500], [0.134, 0.968, 0.500], [0.211, 0.813, 0.500], [0.289, 0.313, 0.500], [0.366, 0.468, 0.500], [0.386, 0.047, 0.500], [0.475, 0.194, 0.500], [0.525, 0.806, 0.500], [0.614, 0.953, 0.500], [0.634, 0.532, 0.500], [0.711, 0.687, 0.500], [0.789, 0.187, 0.500], [0.866, 0.032, 0.500], [0.886, 0.453, 0.500], [0.975, 0.306, 0.500]]}

=====

{"formula": "HfFeHgB", "functional": "PBE", "state": "optimized geometry", "relative_energy_kcal_per_mol_atoms": 6.317, "sg": "F-43m, No. 216", "e_tot_ev_per_cell": -21.8, "cell": [[0.000, 3.132, 3.132], [3.132, 0.000, 3.132], [3.132, 3.132, 0.000]], "species": ["Hf", "Fe", "Hg", "B"], "frac_coords": [[0.000, 0.000, 0.000], [0.750, 0.750, 0.750], [0.250, 0.250, 0.250], [0.500, 0.500, 0.500]]}

=====

{"formula": "HfFeHgB", "functional": "PBE", "state": "optimized geometry", "relative_energy_kcal_per_mol_atoms": 0.000, "sg": "F-43m, No. 216", "e_tot_ev_per_cell": -22.9, "cell": [[0.000, 3.126, 3.126], [3.126, 0.000, 3.126], [3.126, 3.126, 0.000]], "species": ["Hf", "Fe", "Hg", "B"], "frac_coords": [[0.000, 0.000, 0.000], [0.500, 0.500, 0.500], [0.750, 0.750, 0.750], [0.250, 0.250, 0.250]]}

=====

{"formula": "HfFeBIr", "functional": "PBE", "state": "optimized geometry", "relative_energy_kcal_per_mol_atoms": 0.000, "sg": "F-43m, No. 216", "e_tot_ev_per_cell": -33.8, "cell": [[0.000, 2.964, 2.964], [2.964, 0.000, 2.964], [2.964, 2.964, 0.000]], "species": ["Hf", "Fe", "B", "Ir"], "frac_coords": [[0.000, 0.000, 0.000], [0.750, 0.750, 0.750], [0.500, 0.500, 0.500], [0.250, 0.250, 0.250]]}

=====

{"formula": "HfFeBIr", "functional": "PBE", "state": "optimized geometry", "relative_energy_kcal_per_mol_atoms": 5.110, "sg": "F-43m, No. 216", "e_tot_ev_per_cell": -32.9, "cell": [[0.000, 3.043, 3.043], [3.043, 0.000, 3.043], [3.043, 3.043, 0.000]], "species": ["Hf", "Fe", "B", "Ir"], "frac_coords": [[0.000, 0.000, 0.000], [0.500, 0.500, 0.500], [0.250, 0.250, 0.250], [0.750, 0.750, 0.750]]}

=====

{"formula": "HfFeBMo", "functional": "PBE", "state": "optimized geometry", "relative_energy_kcal_per_mol_atoms": 0.000, "sg": "F-43m, No. 216", "e_tot_ev_per_cell": -33.7, "cell": [[0.000, 2.991, 2.991], [2.991, 0.000, 2.991], [2.991, 2.991, 0.000]], "species": ["Hf", "Fe", "B", "Mo"], "frac_coords": [[0.000, 0.000, 0.000], [0.750, 0.750, 0.750], [0.500, 0.500, 0.500], [0.250, 0.250, 0.250]]}

=====

{"formula": "HfFeBMo", "functional": "PBE", "state": "optimized geometry", "relative_energy_kcal_per_mol_atoms": 1.824, "sg": "F-43m, No. 216", "e_tot_ev_per_cell": -33.4, "cell": [[0.000, 3.019, 3.019], [3.019, 0.000, 3.019], [3.019, 3.019, 0.000]], "species": ["Hf", "Fe", "B", "Mo"], "frac_coords": [[0.000, 0.000, 0.000], [0.500, 0.500, 0.500], [0.250, 0.250, 0.250], [0.750, 0.750, 0.750]]}

=====

{"formula": "HfNbFeB", "functional": "PBE", "state": "optimized geometry", "relative_energy_kcal_per_mol_atoms": 0.000, "sg": "F-43m, No. 216", "e_tot_ev_per_cell": -32.8, "cell": [[0.000, 3.017, 3.017], [3.017, 0.000, 3.017], [3.017, 3.017, 0.000]], "species": ["Hf", "Nb", "Fe", "B"], "frac_coords": [[0.000, 0.000, 0.000], [0.250, 0.250, 0.250], [0.750, 0.750, 0.750], [0.500, 0.500, 0.500]]}